Computed, not measured: an optimized crystal structure of Sr2HgSb4Au3 at the PBE-GGA level of DFT.

It has space group P-4m2 (No. 115), with a = 4.880 Å, b = 4.880 Å, c = 11.543 Å, α = 90.00°, β = 90.00° and γ = 90.00°. Symmetry generates all atoms from Sr at (0.000, 0.500, 0.246), Hg at (0.500, 0.500, 0.000), Sb at (0.000, 0.000, 0.500), Sb at (0.000, 0.500, 0.864), Sb at (0.500, 0.500, 0.500), Au at (0.000, 0.000, 0.000) and Au at (0.000, 0.500, 0.632).

The calculation puts the electronic total energy at -3.468 eV per atom. Its formation energy from raw total energies is -469 meV per atom. The total magnetization comes out at 0.00 μB/f.u.